AcNd12Y7 | PBE | relaxed

As for the crystal system: trigonal. As for the density: 6.10 g/cm3. The excess energy over the best structure of this formula in the dataset comes out at 0.000 eV/atom. The value obtained for the total energy is -102.56 eV for the cell shown. The calculation puts the volume at 702.4 Å³/cell. The calculation puts the calculated formation energy at 0.2007 eV per atom.

abc: 8.8900 8.8900 8.8900
angles: 89.14 89.14 89.14
With the nearest neighbours (Å) after each atom.
Fractional coordinates of all 20 atoms:
Nd: 0.2794 0.7259 0.8643  3 Nd 3.22-3.49, 1 Y 3.55
Nd: 0.7206 0.2741 0.1357  3 Nd 3.22-3.49, 1 Y 3.55
Nd: 0.7259 0.8643 0.2794  3 Nd 3.22-3.49, 1 Y 3.55
Nd: 0.8574 0.5032 0.3733  4 Nd 3.22-3.49, 2 Y 3.36-3.56
Nd: 0.3733 0.8574 0.5032  4 Nd 3.22-3.49, 2 Y 3.36-3.56
Nd: 0.6267 0.1426 0.4968  4 Nd 3.22-3.49, 2 Y 3.36-3.56
Nd: 0.2741 0.1357 0.7206  3 Nd 3.22-3.49, 1 Y 3.55
Nd: 0.5032 0.3733 0.8574  4 Nd 3.22-3.49, 2 Y 3.36-3.56
Nd: 0.1426 0.4968 0.6267  4 Nd 3.22-3.49, 2 Y 3.36-3.56
Nd: 0.1357 0.7206 0.2741  3 Nd 3.22-3.49, 1 Y 3.55
Nd: 0.8643 0.2794 0.7259  3 Nd 3.22-3.49, 1 Y 3.55
Nd: 0.4968 0.6267 0.1426  4 Nd 3.22-3.49, 2 Y 3.36-3.56
Y: 0.8455 0.6129 0.9398  7 Nd 3.55-3.96, 3 Y 3.55-3.64, 1 Ac 3.77
Y: 0.0602 0.1545 0.3871  7 Nd 3.55-3.96, 3 Y 3.55-3.64, 1 Ac 3.77
Y: 0.1545 0.3871 0.0602  7 Nd 3.55-3.96, 3 Y 3.55-3.64, 1 Ac 3.77
Y: 0.6129 0.9398 0.8455  7 Nd 3.55-3.96, 3 Y 3.55-3.64, 1 Ac 3.77
Y: 0.3871 0.0602 0.1545  7 Nd 3.55-3.96, 3 Y 3.55-3.64, 1 Ac 3.77
Y: 0.5000 0.5000 0.5000  6 Nd 3.36
Y: 0.9398 0.8455 0.6129  7 Nd 3.55-3.96, 3 Y 3.55-3.64, 1 Ac 3.77
Ac: 0.0000 0.0000 0.0000  6 Nd 3.66, 6 Y 3.77